Entry 1:
The following is a DFT calculation (PBE) of a relaxed structure of Sm3Y2PuTe6.

The structure in POSCAR format:
```
Sm3Y2PuTe6
1.0
9.635 -2.195 0.000
9.635 2.195 0.000
-2.074 0.000 8.625
Sm Y Pu Te
3 2 1 6
direct
0.000 0.000 0.000
0.335 0.335 0.666
0.665 0.665 0.334
0.337 0.337 0.172
0.663 0.663 0.828
0.000 0.000 0.500
0.167 0.167 0.587
0.170 0.170 0.079
0.499 0.499 0.251
0.501 0.501 0.749
0.830 0.830 0.921
0.833 0.833 0.413
```

Calculated values
M_tot   6.1 μB per cell
D(E_F)   1.0141 states/eV/atom
Raw total energy   -76.2 eV per cell


Entry 2:
The following is a DFT calculation (PBE) of a relaxed structure of SmY2Pu3Te6.

The structure in POSCAR format:
```
SmY2Pu3Te6
1.0
9.609 -2.201 0.000
9.609 2.201 0.000
-1.972 0.000 8.608
Sm Y Pu Te
1 2 3 6
direct
0.000 0.000 0.000
0.334 0.334 0.665
0.666 0.666 0.335
0.000 0.000 0.500
0.335 0.335 0.165
0.665 0.665 0.835
0.168 0.168 0.088
0.168 0.168 0.583
0.498 0.498 0.748
0.502 0.502 0.252
0.832 0.832 0.417
0.832 0.832 0.912
```

Calculated values
M_tot   5.9 μB per cell
D(E_F)   2.8852 states/eV/atom
Raw total energy   -94.3 eV per cell


Entry 3:
The following is a DFT calculation (PBE) of a relaxed structure of SmYPu2Te5.

The structure in POSCAR format:
```
SmYPu2Te5
1.0
5.642 0.000 0.000
0.000 5.642 0.000
0.000 0.000 11.599
Sm Y Pu Te
1 1 2 5
direct
0.000 0.000 0.000
0.000 0.000 0.500
0.500 0.500 0.177
0.500 0.500 0.823
0.000 0.000 0.258
0.000 0.000 0.742
0.000 0.500 0.000
0.500 0.000 0.000
0.500 0.500 0.500
```

Calculated values
M_tot   11.9 μB per cell
D(E_F)   3.8111 states/eV/atom
Raw total energy   -61.3 eV per cell


Entry 4:
The following is a DFT calculation (PBE) of a relaxed structure of Sm3Y3PuTe8.

The structure in POSCAR format:
```
Sm3Y3PuTe8
1.0
4.391 2.535 7.185
-4.391 2.535 7.185
0.000 -5.070 7.185
Sm Y Pu Te
3 3 1 8
direct
0.000 0.500 0.500
0.500 0.000 0.500
0.500 0.500 0.000
0.000 0.000 0.500
0.000 0.500 0.000
0.500 0.000 0.000
0.500 0.500 0.500
0.239 0.757 0.757
0.243 0.243 0.761
0.243 0.761 0.243
0.248 0.248 0.248
0.752 0.752 0.752
0.757 0.239 0.757
0.757 0.757 0.239
0.761 0.243 0.243
```

Calculated values
M_tot   6.3 μB per cell
D(E_F)   1.3459 states/eV/atom
Raw total energy   -93.4 eV per cell


Look up the D(E_F) of the third one.
3.8111 states/eV/atom